[1]
Here is crystalline HfZn3S at its relaxed geometry from Alexandria via LeMat-Bulk. Energies are from GGA-PBE.

## Properties
Calculated volume   98.1 Å³/f.u.
Space-group type   Pm-3m (221)
Formation energy (no corrections)   0.609 eV/atom
ρ   6.88 g/cm3
Fermi-level density of states   0.67 states/eV per atom
Total magnetization   0.00 μB per formula unit

```
5
Lattice="-1.045 3.612 2.671 -2.743 1.658 -3.317 -3.558 -2.340 1.773" Properties=species:S:1:pos:R:3 pbc="T T T"
Zn -1.779 -1.170 0.886
Zn -0.523 1.806 1.335
Zn -1.371 0.829 -1.658
S 0.000 0.000 0.000
Hf -3.673 1.466 0.563
```

---

[2]
Here is crystalline K2Sr2Rh at its relaxed geometry from Alexandria via LeMat-Bulk. Energies are from GGA-PBE.

## Properties
Calculated volume   204.0 Å³/f.u.
Space-group type   P4/mbm (127)
ρ   2.90 g/cm3
E_form   52.7 kJ per mole of atoms
Fermi-level density of states   1.04 states/eV per atom
Total magnetization   0.00 μB per formula unit

```
10
Lattice="-3.299 -3.115 -6.717 7.389 -0.922 -3.202 0.358 -5.687 2.462" Properties=species:S:1:pos:R:3 pbc="T T T"
K 2.163 -0.775 -2.105
K 5.154 -1.901 -5.139
K -1.063 -2.136 -4.780
K 1.928 -3.262 -7.814
Sr 4.682 -4.102 -2.329
Sr 3.807 -5.756 -6.024
Sr 0.641 -3.968 -1.433
Sr -0.234 -5.623 -5.127
Rh 2.045 -2.019 -4.959
Rh 0.000 0.000 0.000
```

---

Here are the calculated E numbers, same order: -14.9, -20.4 (eV per cell).